# 1
Below is Ca3Mg2 after structural relaxation, with properties calculated at the PBEsol level.

Computed properties:
calculated formation energy: 0.0147 eV per atom
symmetry: Fdd2

The structure in POSCAR format:
```
Ca3Mg2
1.0
0.000 8.584 3.194
5.989 0.000 3.194
5.989 8.584 0.000
Ca Mg
6 4
direct
0.000 0.000 0.000 Ca
0.250 0.250 0.250 Ca
0.361 0.644 0.430 Ca
0.644 0.361 0.565 Ca
0.685 0.820 0.606 Ca
0.820 0.685 0.889 Ca
0.103 0.469 0.991 Mg
0.259 0.813 0.147 Mg
0.469 0.103 0.437 Mg
0.813 0.259 0.781 Mg
```

=====

# 2
Below is AgSb2Ru after structural relaxation, with properties calculated at the PBEsol level.

Computed properties:
symmetry: P4mm
formation energy without anion corrections: 0.20 eV per atom

The structure in POSCAR format:
```
AgSb2Ru
1.0
3.181 0.000 0.000
0.000 3.181 0.000
0.000 0.000 7.944
Ag Sb Ru
1 2 1
direct
0.000 0.000 0.000 Ag
0.000 0.000 0.402 Sb
0.500 0.500 0.762 Sb
0.500 0.500 0.225 Ru
```

=====

# 3
Below is Mo2SeCl after structural relaxation, with properties calculated at the PBEsol level.

Computed properties:
symmetry: Cm
formation energy without anion corrections: 0.21 eV per atom
distance to the lowest polymorph of the same formula: 162 meV/atom

The structure in POSCAR format:
```
Mo2SeCl
1.0
4.359 -1.594 0.000
4.359 1.594 0.000
-0.965 0.000 5.628
Mo Se Cl
2 1 1
direct
0.000 0.000 0.000 Mo
0.710 0.710 0.124 Mo
0.248 0.248 0.786 Se
0.466 0.466 0.351 Cl
```

=====

# 4
Below is Sb2AsPb after structural relaxation, with properties calculated at the PBEsol level.

Computed properties:
symmetry: R3m
formation energy without anion corrections: 0.05 eV per atom
distance to the lowest polymorph of the same formula: 21 meV/atom

The structure in POSCAR format:
```
Sb2AsPb
1.0
2.127 1.228 6.937
-2.127 1.228 6.937
0.000 -2.456 6.937
Sb As Pb
2 1 1
direct
0.000 0.000 0.000 Sb
0.251 0.251 0.251 Sb
0.744 0.744 0.744 As
0.488 0.488 0.488 Pb
```

=====

# 5
Below is CaRe2Mo after structural relaxation, with properties calculated at the PBEsol level.

Computed properties:
calculated formation energy: 0.6088 eV per atom
symmetry: R3m
distance to the lowest polymorph of the same formula: 11 meV/atom

The structure in POSCAR format:
```
CaRe2Mo
1.0
1.412 0.815 9.692
-1.412 0.815 9.692
0.000 -1.631 9.692
Ca Re Mo
1 2 1
direct
0.000 0.000 0.000 Ca
0.496 0.496 0.496 Re
0.756 0.756 0.756 Re
0.239 0.239 0.239 Mo
```

=====

# 6
Below is MnZnGa4Se8 after structural relaxation, with properties calculated at the PBEsol level.

Computed properties:
symmetry: C2
formation energy without anion corrections: -0.55 eV per atom

The structure in POSCAR format:
```
MnZnGa4Se8
1.0
3.912 -5.422 0.000
3.912 5.422 0.000
-0.004 0.000 7.827
Mn Zn Ga Se
1 1 4 8
direct
0.000 0.000 0.000 Mn
0.499 0.501 0.500 Zn
0.000 0.000 0.500 Ga
0.000 0.501 0.748 Ga
0.499 0.000 0.252 Ga
0.499 0.501 0.000 Ga
0.112 0.381 0.483 Se
0.118 0.391 0.014 Se
0.119 0.848 0.256 Se
0.152 0.881 0.744 Se
0.609 0.882 0.986 Se
0.618 0.351 0.752 Se
0.619 0.888 0.517 Se
0.649 0.382 0.248 Se
```

=====

# 7
Below is Bi2Mo2Au after structural relaxation, with properties calculated at the PBEsol level.

Computed properties:
calculated formation energy: 0.4923 eV per atom
symmetry: I4/mmm

The structure in POSCAR format:
```
Bi2Mo2Au
1.0
-1.795 1.795 8.599
1.795 -1.795 8.599
1.795 1.795 -8.599
Bi Mo Au
2 2 1
direct
0.110 0.110 0.000 Bi
0.890 0.890 0.000 Bi
0.250 0.750 0.500 Mo
0.750 0.250 0.500 Mo
0.500 0.500 0.000 Au
```

=====

# 8
Below is MnTe2OsN after structural relaxation, with properties calculated at the PBEsol level.

Computed properties:
symmetry: P4/mmm
formation energy without anion corrections: 0.54 eV per atom

The structure in POSCAR format:
```
MnTe2OsN
1.0
5.402 0.000 0.000
0.000 5.402 0.000
0.000 0.000 3.643
Mn Te Os N
1 2 1 1
direct
0.000 0.000 0.000 Mn
0.000 0.500 0.500 Te
0.500 0.000 0.500 Te
0.500 0.500 0.500 Os
0.500 0.500 0.000 N
```

=====

# 9
Below is TcMo2W after structural relaxation, with properties calculated at the PBEsol level.

Computed properties:
calculated formation energy: 0.0369 eV per atom
symmetry: P4mm
distance to the lowest polymorph of the same formula: 2 meV/atom

The structure in POSCAR format:
```
TcMo2W
1.0
3.111 0.000 0.000
0.000 3.111 0.000
0.000 0.000 6.242
Tc Mo W
1 2 1
direct
0.000 0.000 0.000 Tc
0.000 0.000 0.497 Mo
0.500 0.500 0.736 Mo
0.500 0.500 0.242 W
```

=====

# 10
Below is BaAl3 after structural relaxation, with properties calculated at the PBEsol level.

Computed properties:
calculated formation energy: -0.1515 eV per atom
symmetry: Cmcm

The structure in POSCAR format:
```
BaAl3
1.0
3.654 -6.305 0.000
3.654 6.305 0.000
0.000 0.000 4.553
Ba Al
2 6
direct
0.166 0.834 0.750 Ba
0.834 0.166 0.250 Ba
0.246 0.374 0.750 Al
0.373 0.627 0.250 Al
0.374 0.246 0.250 Al
0.626 0.754 0.750 Al
0.627 0.373 0.750 Al
0.754 0.626 0.250 Al
```

=====

# 11
Below is Ba2SiAu after structural relaxation, with properties calculated at the PBEsol level.

Computed properties:
symmetry: Amm2
formation energy without anion corrections: -0.51 eV per atom

The structure in POSCAR format:
```
Ba2SiAu
1.0
4.539 0.000 0.000
0.000 2.547 5.489
0.000 -2.547 5.489
Ba Si Au
2 1 1
direct
0.000 0.000 0.000 Ba
0.500 0.300 0.300 Ba
0.500 0.607 0.607 Si
0.000 0.696 0.696 Au
```

=====

# 12
Below is Cd2IrW after structural relaxation, with properties calculated at the PBEsol level.

Computed properties:
calculated formation energy: 0.4474 eV per atom
symmetry: P2/m
distance to the lowest polymorph of the same formula: 117 meV/atom

The structure in POSCAR format:
```
Cd2IrW
1.0
2.810 0.000 0.000
0.000 4.808 0.000
-0.459 0.000 4.943
Cd Ir W
2 1 1
direct
0.215 0.000 0.254 Cd
0.785 0.000 0.746 Cd
0.000 0.500 0.500 Ir
0.500 0.500 0.000 W
```

=====

Number 1: ρ 1.71 g cm⁻³, total energy -19.52 eV/cell. Number 2: ρ 9.35 g cm⁻³, total energy -21.79 eV/cell. Number 3: ρ 6.50 g cm⁻³, total energy -28.56 eV/cell. Number 4: ρ 8.03 g cm⁻³, total energy -18.03 eV/cell. Number 5: ρ 12.61 g cm⁻³, total energy -38.13 eV/cell. Number 6: ρ 5.16 g cm⁻³, total energy -63.25 eV/cell. Number 7: ρ 12.08 g cm⁻³, total energy -33.57 eV/cell. Number 8: ρ 8.04 g cm⁻³, total energy -34.85 eV/cell. Number 9: ρ 13.02 g cm⁻³, total energy -48.46 eV/cell. Number 10: ρ 3.46 g cm⁻³, total energy -30.06 eV/cell. Number 11: ρ 6.54 g cm⁻³, total energy -16.01 eV/cell. Number 12: ρ 14.94 g cm⁻³, total energy -24.24 eV/cell.